1.
Here is an optimized crystal structure of FeTc2 from Alexandria via LeMat-Bulk. Energies are from PBE.

a b c (Å): 3.809 11.214 3.799
angles (deg): 90.00 90.00 90.00
Space group Cmcm (No. 63)
One atom of each set of equivalent atoms:
1 Fe 0.000 0.081 0.250
2 Tc 0.000 0.248 0.750
3 Tc 0.000 0.418 0.250

Fermi-level density of states = 11.72 states/eV per cell
calculated formation energy = 0.28 eV/f.u.


2.
Here is an optimized crystal structure of FeTc2 from Alexandria via LeMat-Bulk. Energies are from PBE.

a b c (Å): 4.218 4.218 2.579
angles (deg): 90.00 90.00 90.00
Space group P4/mmm (No. 123)
One atom of each set of equivalent atoms:
1 Fe 0.000 0.000 0.000
2 Tc 0.000 0.500 0.500

Fermi-level density of states = 3.95 states/eV per cell
calculated formation energy = 2.35 eV/f.u.


3.
Here is an optimized crystal structure of FeTc2 from Alexandria via LeMat-Bulk. Energies are from PBE.

a b c (Å): 2.660 3.843 7.992
angles (deg): 90.00 90.00 90.00
Space group Immm (No. 71)
One atom of each set of equivalent atoms:
1 Fe 0.000 0.000 0.000
2 Tc 0.000 0.000 0.336

Fermi-level density of states = 6.31 states/eV per cell
calculated formation energy = 0.32 eV/f.u.


4.
Here is an optimized crystal structure of Fe7Tc from Alexandria via LeMat-Bulk. Energies are from PBE.

a b c (Å): 7.060 7.060 7.060
angles (deg): 90.00 90.00 90.00
Space group Fm-3m (No. 225)
One atom of each set of equivalent atoms:
1 Fe 0.000 0.000 0.000
2 Fe 0.000 0.250 0.250
3 Tc 0.000 0.000 0.500

Fermi-level density of states = 39.34 states/eV per cell
calculated formation energy = 1.27 eV/f.u.


5.
Here is an optimized crystal structure of Fe3Tc from Alexandria via LeMat-Bulk. Energies are from PBE.

a b c (Å): 2.6732 2.6732 24.3963
angles (deg): 90.00 90.00 120.00
Space group R-3m (No. 166, hexagonal axes)
One atom of each set of equivalent atoms:
1 Fe 0.0000 0.0000 0.0000
2 Fe 0.0000 0.0000 0.2533
3 Tc 0.0000 0.0000 0.5000

Fermi-level density of states = 12.52 states/eV per cell
calculated formation energy = 0.65 eV/f.u.


6.
Here is an optimized crystal structure of Fe5Tc3 from Alexandria via LeMat-Bulk. Energies are from PBE.

a b c (Å): 7.2360 7.2360 4.6890
angles (deg): 90.00 90.00 120.00
Space group P6_3/mcm (No. 193)
One atom of each set of equivalent atoms:
1 Fe 0.0000 0.2088 0.2500
2 Fe 0.3333 0.6667 0.0000
3 Tc 0.0000 0.4121 0.7500

Fermi-level density of states = 19.05 states/eV per cell
calculated formation energy = 2.86 eV/f.u.


7.
Here is an optimized crystal structure of FeTc3 from Alexandria via LeMat-Bulk. Energies are from PBE.

a b c (Å): 8.878 2.700 4.682
angles (deg): 90.00 99.60 90.00
Space group C2/m (No. 12)
One atom of each set of equivalent atoms:
1 Fe 0.000 0.000 0.000
2 Tc 0.000 0.500 0.500
3 Tc 0.247 0.500 0.242

Fermi-level density of states = 10.09 states/eV per cell
calculated formation energy = 0.49 eV/f.u.


8.
Here is an optimized crystal structure of FeTcTe from Alexandria via LeMat-Bulk. Energies are from PBE.

a b c (Å): 3.159 4.097 8.561
angles (deg): 90.00 90.00 90.00
Space group Pmm2 (No. 25)
One atom of each set of equivalent atoms:
1 Fe 0.000 0.000 0.000
2 Fe 0.000 0.500 0.164
3 Tc 0.500 0.000 0.758
4 Tc 0.500 0.500 0.934
5 Te 0.000 0.500 0.624
6 Te 0.500 0.000 0.262

Fermi-level density of states = 5.17 states/eV per cell
energy relative to the elements, uncorrected = 0.22 eV/atom


9.
Here is an optimized crystal structure of FeTc2Te from Alexandria via LeMat-Bulk. Energies are from PBE.

a b c (Å): 6.285 6.285 6.285
angles (deg): 90.00 90.00 90.00
Space group F-43m (No. 216)
One atom of each set of equivalent atoms:
1 Fe 0.000 0.000 0.000
2 Tc 0.000 0.000 0.500
3 Tc 0.250 0.250 0.750
4 Te 0.250 0.250 0.250

Fermi-level density of states = 17.21 states/eV per cell
energy relative to the elements, uncorrected = 0.47 eV/atom


10.
Here is an optimized crystal structure of FeTc2Te from Alexandria via LeMat-Bulk. Energies are from PBE.

a b c (Å): 3.180 4.407 8.903
angles (deg): 90.00 90.00 90.00
Space group Immm (No. 71)
One atom of each set of equivalent atoms:
1 Fe 0.000 0.000 0.000
2 Tc 0.000 0.500 0.237
3 Te 0.000 0.000 0.500

Fermi-level density of states = 9.74 states/eV per cell
energy relative to the elements, uncorrected = 0.49 eV/atom


11.
Here is an optimized crystal structure of FeTc2Te from Alexandria via LeMat-Bulk. Energies are from PBE.

a b c (Å): 3.0383 3.0383 24.2937
angles (deg): 90.00 90.00 120.00
Space group R-3m (No. 166, hexagonal axes)
One atom of each set of equivalent atoms:
1 Fe 0.0000 0.0000 0.0000
2 Tc 0.0000 0.0000 0.2550
3 Te 0.0000 0.0000 0.5000

Fermi-level density of states = 12.45 states/eV per cell
energy relative to the elements, uncorrected = 0.54 eV/atom


12.
Here is an optimized crystal structure of FeTcTe from Alexandria via LeMat-Bulk. Energies are from PBE.

a b c (Å): 3.333 3.333 8.748
angles (deg): 90.00 90.00 90.00
Space group I4mm (No. 107)
One atom of each set of equivalent atoms:
1 Fe 0.000 0.000 0.000
2 Tc 0.000 0.000 0.656
3 Te 0.000 0.000 0.329

Fermi-level density of states = 4.65 states/eV per cell
energy relative to the elements, uncorrected = 0.40 eV/atom